Entry 1:
Compound: BaGaRu2O8
Source: Alexandria
Functional: PBE-GGA
Structure: relaxed

V in Å³ per atom: 15.6
Size of the total moment in μB per cell: 3.01
Raw formation energy in eV/atom: -1.26
Total energy in eV per formula unit: -78.30
N(E_F) in states/eV/atom: 0.46

a = 5.3655 Å, b = 5.3655 Å, c = 7.5288 Å
α = 90.00°, β = 90.00°, γ = 120.00°
Space group P-3 (No. 147)
One atom of each set of equivalent atoms:
Ba 0.0000 0.0000 0.0000 (multiplicity 1)
Ga 0.0000 0.0000 0.5000 (multiplicity 1)
Ru 0.3333 0.6667 0.7153 (multiplicity 2)
O 0.0365 0.3055 0.6667 (multiplicity 6)
O 0.3333 0.6667 0.9546 (multiplicity 2)

Entry 2:
Compound: K2ZrPF
Source: Alexandria
Functional: PBE-GGA
Structure: relaxed

V in Å³ per atom: 40.1
Size of the total moment in μB per cell: 2.00
Raw formation energy in eV/atom: -0.47
Total energy in eV per formula unit: -20.35
N(E_F) in states/eV/atom: 0.42

a = 6.326 Å, b = 6.326 Å, c = 5.016 Å
α = 90.00°, β = 90.00°, γ = 90.00°
Space group P4/mmm (No. 123)
One atom of each set of equivalent atoms:
K 0.000 0.500 0.000 (multiplicity 2)
Zr 0.000 0.000 0.500 (multiplicity 1)
P 0.000 0.000 0.000 (multiplicity 1)
F 0.500 0.500 0.500 (multiplicity 1)

Entry 3:
Compound: LaPdBr2
Source: Alexandria
Functional: PBE-GGA
Structure: relaxed

V in Å³ per atom: 27.9
Size of the total moment in μB per cell: 0.00
Raw formation energy in eV/atom: -0.88
Total energy in eV per formula unit: -16.99
Offset from the most stable computed form in eV per atom: 0.057
N(E_F) in states/eV/atom: 0.64

a = 4.853 Å, b = 4.853 Å, c = 18.958 Å
α = 90.00°, β = 90.00°, γ = 90.00°
Space group I-42d (No. 122)
One atom of each set of equivalent atoms:
La 0.000 0.000 0.000 (multiplicity 4)
Pd 0.000 0.000 0.500 (multiplicity 4)
Br 0.233 0.250 0.625 (multiplicity 8)

Entry 4:
Compound: Ag3Pd2Au3
Source: Alexandria
Functional: PBE-GGA
Structure: relaxed

V in Å³ per atom: 17.2
Size of the total moment in μB per cell: 0.00
Total energy in eV per formula unit: -29.31
Offset from the most stable computed form in eV per atom: 0.000
N(E_F) in states/eV/atom: 0.38
Formation enthalpy at 0 K in meV/atom: -67

a = 4.130 Å, b = 4.161 Å, c = 8.535 Å
α = 104.01°, β = 103.90°, γ = 90.00°
Space group P-1 (No. 2)
One atom of each set of equivalent atoms:
Ag 0.000 0.000 0.000 (multiplicity 1)
Ag 0.371 0.871 0.742 (multiplicity 2)
Pd 0.250 0.250 0.501 (multiplicity 2)
Au 0.130 0.630 0.258 (multiplicity 2)
Au 0.500 0.500 0.000 (multiplicity 1)

Entry 5:
Compound: ReOsI2N
Source: Alexandria
Functional: PBE-GGA
Structure: relaxed

V in Å³ per atom: 22.9
Size of the total moment in μB per cell: 4.01
Raw formation energy in eV/atom: 1.49
Total energy in eV per formula unit: -27.64
Offset from the most stable computed form in eV per atom: 0.000
N(E_F) in states/eV/atom: 0.85

a = 5.562 Å, b = 5.562 Å, c = 3.704 Å
α = 90.00°, β = 90.00°, γ = 90.00°
Space group P4/mmm (No. 123)
One atom of each set of equivalent atoms:
Re 0.000 0.000 0.000 (multiplicity 1)
Os 0.500 0.500 0.500 (multiplicity 1)
I 0.000 0.500 0.500 (multiplicity 2)
N 0.500 0.500 0.000 (multiplicity 1)

Entry 6:
Compound: GePd12Pt3
Source: Alexandria
Functional: PBE-GGA
Structure: relaxed

V in Å³ per atom: 15.3
Size of the total moment in μB per cell: 0.01
Total energy in eV per formula unit: -86.66
N(E_F) in states/eV/atom: 1.88
Formation enthalpy at 0 K in meV/atom: -101

a = 3.952 Å, b = 3.952 Å, c = 15.709 Å
α = 90.00°, β = 90.00°, γ = 90.00°
Space group P4/mmm (No. 123)
One atom of each set of equivalent atoms:
Ge 0.000 0.000 0.000 (multiplicity 1)
Pd 0.000 0.500 0.121 (multiplicity 4)
Pd 0.000 0.500 0.375 (multiplicity 4)
Pd 0.500 0.500 0.000 (multiplicity 1)
Pd 0.500 0.500 0.247 (multiplicity 2)
Pd 0.500 0.500 0.500 (multiplicity 1)
Pt 0.000 0.000 0.250 (multiplicity 2)
Pt 0.000 0.000 0.500 (multiplicity 1)